{"formula": "CaPF6", "functional": "GGA-PBE", "state": "optimized geometry", "mass_density_g_cm3": 2.609, "raw_formation_energy_ev_per_atom": -2.73, "magmom_total_mub_per_atom": 0.124, "cell": [[-1.841, 4.417, -2.372], [-5.136, 1.373, 0.523], [-1.250, 4.470, 3.274]], "species": ["F", "F", "F", "F", "F", "F", "P", "Ca"], "frac_coords": [[0.666, 0.214, 0.219], [0.214, 0.901, 0.219], [0.901, 0.666, 0.219], [0.334, 0.786, 0.781], [0.099, 0.334, 0.781], [0.786, 0.099, 0.781], [0.000, 0.000, 0.000], [0.500, 0.500, 0.500]]}

{"formula": "Ca2PF", "functional": "GGA-PBE", "state": "optimized geometry", "mass_density_g_cm3": 2.744, "raw_formation_energy_ev_per_atom": -1.90, "magmom_total_mub_per_atom": 0.000, "e_above_lowest_polymorph_ev_per_fu": 1.103, "cell": [[0.000, 3.402, 3.402], [3.402, 0.000, 3.402], [3.402, 3.402, 0.000]], "species": ["P", "F", "Ca", "Ca"], "frac_coords": [[0.500, 0.500, 0.500], [0.000, 0.000, 0.000], [0.750, 0.750, 0.750], [0.250, 0.250, 0.250]]}

{"formula": "CaPF2", "functional": "GGA-PBE", "state": "optimized geometry", "mass_density_g_cm3": 1.693, "raw_formation_energy_ev_per_atom": -1.78, "magmom_total_mub_per_atom": 0.250, "e_above_lowest_polymorph_ev_per_fu": 1.352, "cell": [[6.403, 0.000, 0.000], [0.000, 6.403, 0.000], [3.201, 3.201, 5.218]], "species": ["F", "F", "F", "F", "Ca", "Ca", "P", "P"], "frac_coords": [[0.783, 0.125, 0.250], [0.967, 0.625, 0.250], [0.875, 0.033, 0.750], [0.375, 0.217, 0.750], [0.750, 0.250, 0.500], [0.000, 0.000, 0.000], [0.250, 0.750, 0.500], [0.500, 0.500, 0.000]]}

{"formula": "Ca2PF", "functional": "GGA-PBE", "state": "optimized geometry", "mass_density_g_cm3": 2.288, "raw_formation_energy_ev_per_atom": -1.90, "magmom_total_mub_per_atom": 0.000, "e_above_lowest_polymorph_ev_per_fu": 1.087, "cell": [[-0.999, 3.585, 1.500], [-3.662, 0.584, 1.534], [0.691, -0.534, 7.104]], "species": ["F", "Ca", "Ca", "P"], "frac_coords": [[0.482, 0.482, 0.553], [0.082, 0.082, 0.754], [0.266, 0.266, 0.202], [0.669, 0.669, 0.992]]}

{"formula": "Ca2PF", "functional": "GGA-PBE", "state": "optimized geometry", "mass_density_g_cm3": 2.503, "raw_formation_energy_ev_per_atom": -2.17, "magmom_total_mub_per_atom": 0.000, "e_above_lowest_polymorph_ev_per_fu": 0.000, "cell": [[4.299, 0.000, -0.001], [0.000, 3.896, 0.000], [0.002, 0.000, 10.306]], "species": ["Ca", "Ca", "Ca", "Ca", "P", "P", "F", "F"], "frac_coords": [[0.701, 0.858, 0.225], [0.201, 0.858, 0.498], [0.701, 0.358, 0.718], [0.201, 0.358, 0.991], [0.701, 0.358, 0.432], [0.201, 0.858, 0.784], [0.701, 0.358, 0.078], [0.201, 0.858, 0.138]]}

{"formula": "Ca2PF", "functional": "GGA-PBE", "state": "optimized geometry", "mass_density_g_cm3": 2.513, "raw_formation_energy_ev_per_atom": -2.01, "magmom_total_mub_per_atom": 0.000, "e_above_lowest_polymorph_ev_per_fu": 0.660, "cell": [[-2.743, 2.935, 0.715], [-1.270, 0.722, 3.810], [3.075, 5.166, 2.231]], "species": ["Ca", "Ca", "P", "F"], "frac_coords": [[0.251, 0.251, 0.248], [0.749, 0.749, 0.752], [0.000, 0.000, 0.000], [0.500, 0.500, 0.500]]}

{"formula": "CaPF2", "functional": "GGA-PBE", "state": "optimized geometry", "mass_density_g_cm3": 2.845, "raw_formation_energy_ev_per_atom": -1.54, "magmom_total_mub_per_atom": 0.750, "e_above_lowest_polymorph_ev_per_fu": 2.328, "cell": [[-3.408, -0.160, 2.907], [-1.385, 3.744, 2.038], [-3.955, 1.809, -1.082]], "species": ["P", "Ca", "F", "F"], "frac_coords": [[0.000, 0.000, 0.000], [0.500, 0.500, 0.500], [0.250, 0.250, 0.250], [0.750, 0.750, 0.750]]}

{"formula": "Ca2PF", "functional": "GGA-PBE", "state": "optimized geometry", "mass_density_g_cm3": 2.120, "raw_formation_energy_ev_per_atom": -1.90, "magmom_total_mub_per_atom": 0.000, "e_above_lowest_polymorph_ev_per_fu": 1.115, "cell": [[-0.380, -0.965, 5.560], [-0.225, -5.566, -0.981], [6.052, -3.589, 2.667]], "species": ["Ca", "Ca", "Ca", "Ca", "F", "F", "P", "P"], "frac_coords": [[0.875, 0.832, 0.750], [0.168, 0.625, 0.250], [0.375, 0.418, 0.750], [0.582, 0.125, 0.250], [0.250, 0.750, 0.500], [0.500, 0.500, 0.000], [0.750, 0.250, 0.500], [0.000, 0.000, 0.000]]}

{"formula": "CaPF2", "functional": "GGA-PBE", "state": "optimized geometry", "mass_density_g_cm3": 1.970, "raw_formation_energy_ev_per_atom": -2.12, "magmom_total_mub_per_atom": 0.236, "e_above_lowest_polymorph_ev_per_fu": 0.000, "cell": [[1.950, 0.000, 9.302], [-0.975, 1.689, 9.302], [-0.975, -1.689, 9.302]], "species": ["F", "F", "Ca", "P"], "frac_coords": [[0.128, 0.128, 0.128], [0.872, 0.872, 0.872], [0.500, 0.500, 0.500], [0.000, 0.000, 0.000]]}

{"formula": "Ca6P3F", "functional": "GGA-PBE", "state": "optimized geometry", "mass_density_g_cm3": 2.224, "raw_formation_energy_ev_per_atom": -1.36, "magmom_total_mub_per_atom": 0.153, "cell": [[6.769, 0.000, 0.000], [0.000, 8.920, 0.046], [0.000, -1.946, 8.705]], "species": ["Ca", "Ca", "Ca", "Ca", "Ca", "Ca", "Ca", "Ca", "Ca", "Ca", "Ca", "Ca", "P", "P", "P", "P", "P", "P", "F", "F"], "frac_coords": [[0.191, 0.361, 0.314], [0.691, 0.639, 0.686], [0.691, 0.314, 0.361], [0.692, 0.570, 0.109], [0.192, 0.430, 0.891], [0.672, 0.223, 0.777], [0.192, 0.109, 0.570], [0.177, 0.042, 0.958], [0.191, 0.686, 0.639], [0.677, 0.958, 0.042], [0.692, 0.891, 0.430], [0.172, 0.777, 0.223], [0.971, 0.716, 0.930], [0.407, 0.390, 0.610], [0.471, 0.284, 0.070], [0.907, 0.610, 0.390], [0.971, 0.070, 0.284], [0.471, 0.930, 0.716], [0.521, 0.806, 0.194], [0.021, 0.194, 0.806]]}

{"formula": "Rb2CaPF6", "functional": "GGA-PBE", "state": "optimized geometry", "mass_density_g_cm3": 3.025, "raw_formation_energy_ev_per_atom": -2.66, "magmom_total_mub_per_atom": 0.100, "cell": [[-3.077, 5.079, 0.382], [-4.864, -3.063, 1.541], [-2.569, 1.457, 6.280]], "species": ["F", "F", "F", "F", "F", "F", "Ca", "P", "Rb", "Rb"], "frac_coords": [[0.731, 0.731, 0.000], [0.800, 0.800, 0.400], [0.200, 0.200, 0.600], [0.731, 0.269, 0.000], [0.269, 0.731, 0.000], [0.269, 0.269, 0.000], [0.000, 0.000, 0.000], [0.500, 0.500, 0.000], [0.750, 0.250, 0.500], [0.250, 0.750, 0.500]]}

{"formula": "CaPS2F", "functional": "GGA-PBE", "state": "optimized geometry", "mass_density_g_cm3": 2.677, "raw_formation_energy_ev_per_atom": -0.33, "magmom_total_mub_per_atom": 0.000, "e_above_lowest_polymorph_ev_per_fu": 0.000, "cell": [[5.067, 0.000, 0.000], [0.000, 5.067, 0.000], [0.000, 0.000, 3.725]], "species": ["F", "S", "S", "P", "Ca"], "frac_coords": [[0.000, 0.000, 0.000], [0.500, 0.000, 0.000], [0.000, 0.500, 0.000], [0.000, 0.000, 0.500], [0.500, 0.500, 0.500]]}

{"formula": "CaPS2F", "functional": "GGA-PBE", "state": "optimized geometry", "mass_density_g_cm3": 1.597, "raw_formation_energy_ev_per_atom": 0.51, "magmom_total_mub_per_atom": 0.217, "e_above_lowest_polymorph_ev_per_fu": 4.199, "cell": [[-3.895, 3.640, 0.312], [-2.192, -2.693, 4.057], [3.077, 2.980, 3.640]], "species": ["P", "Ca", "F", "S", "S"], "frac_coords": [[0.000, 0.000, 0.500], [0.000, 0.000, 0.000], [0.500, 0.500, 0.500], [0.500, 0.000, 0.000], [0.000, 0.500, 0.000]]}

{"formula": "CaSi2PF", "functional": "GGA-PBE", "state": "optimized geometry", "mass_density_g_cm3": 1.990, "raw_formation_energy_ev_per_atom": 0.30, "magmom_total_mub_per_atom": 0.074, "cell": [[5.482, 0.000, 0.000], [0.000, 4.061, 0.000], [0.000, 0.000, 5.482]], "species": ["F", "Si", "Si", "Ca", "P"], "frac_coords": [[0.000, 0.500, 0.000], [0.000, 0.000, 0.500], [0.500, 0.000, 0.000], [0.000, 0.000, 0.000], [0.500, 0.500, 0.500]]}

{"formula": "Ca2PaF8", "functional": "GGA-PBE", "state": "optimized geometry", "mass_density_g_cm3": 5.442, "raw_formation_energy_ev_per_atom": -3.78, "magmom_total_mub_per_atom": 0.091, "e_above_lowest_polymorph_ev_per_fu": 0.804, "cell": [[4.119, -0.018, -0.026], [-0.704, 6.135, -0.075], [-0.704, -2.432, 5.633]], "species": ["Pa", "F", "F", "F", "F", "F", "F", "F", "F", "Ca", "Ca"], "frac_coords": [[0.500, 0.000, 0.000], [0.500, 0.775, 0.225], [0.339, 0.658, 0.658], [0.500, 0.225, 0.775], [0.919, 0.941, 0.696], [0.081, 0.304, 0.059], [0.919, 0.696, 0.941], [0.661, 0.342, 0.342], [0.081, 0.059, 0.304], [0.000, 0.323, 0.677], [0.000, 0.677, 0.323]]}

{"formula": "Ca2PaF8", "functional": "GGA-PBE", "state": "optimized geometry", "mass_density_g_cm3": 4.444, "raw_formation_energy_ev_per_atom": -3.85, "magmom_total_mub_per_atom": 0.091, "e_above_lowest_polymorph_ev_per_fu": 0.000, "cell": [[-4.271, -1.182, -3.432], [-1.116, -4.615, 2.978], [-0.701, 5.801, 3.452]], "species": ["F", "F", "F", "F", "F", "F", "F", "F", "Ca", "Ca", "Pa"], "frac_coords": [[0.860, 0.860, 0.257], [0.604, 0.604, 0.743], [0.140, 0.140, 0.743], [0.140, 0.604, 0.743], [0.604, 0.140, 0.743], [0.396, 0.860, 0.257], [0.860, 0.396, 0.257], [0.396, 0.396, 0.257], [0.750, 0.250, 0.500], [0.250, 0.750, 0.500], [0.500, 0.500, 0.000]]}

{"formula": "Ca2PaF11", "functional": "GGA-PBE", "state": "optimized geometry", "mass_density_g_cm3": 3.474, "raw_formation_energy_ev_per_atom": -3.31, "magmom_total_mub_per_atom": 0.000, "cell": [[-4.014, -2.477, -7.141], [2.679, -7.235, -4.124], [-6.536, -5.788, 0.553]], "species": ["F", "F", "F", "F", "F", "F", "F", "F", "F", "F", "F", "F", "F", "F", "F", "F", "F", "F", "F", "F", "F", "F", "Pa", "Pa", "Ca", "Ca", "Ca", "Ca"], "frac_coords": [[0.053, 0.557, 0.717], [0.542, 0.017, 0.699], [0.673, 0.717, 0.557], [0.242, 0.517, 0.199], [0.447, 0.783, 0.943], [0.559, 0.343, 0.657], [0.758, 0.483, 0.801], [0.553, 0.217, 0.057], [0.042, 0.199, 0.517], [0.327, 0.283, 0.443], [0.958, 0.801, 0.483], [0.947, 0.443, 0.283], [0.441, 0.657, 0.343], [0.000, 0.000, 0.000], [0.742, 0.699, 0.017], [0.827, 0.943, 0.783], [0.059, 0.157, 0.843], [0.258, 0.301, 0.983], [0.173, 0.057, 0.217], [0.500, 0.500, 0.500], [0.941, 0.843, 0.157], [0.458, 0.983, 0.301], [0.750, 0.750, 0.750], [0.250, 0.250, 0.250], [0.292, 0.284, 0.716], [0.792, 0.216, 0.784], [0.708, 0.716, 0.284], [0.208, 0.784, 0.216]]}

{"formula": "Ca2PaF", "functional": "GGA-PBE", "state": "optimized geometry", "mass_density_g_cm3": 5.812, "raw_formation_energy_ev_per_atom": -0.83, "magmom_total_mub_per_atom": 0.007, "cell": [[3.304, 0.000, 0.000], [1.652, 2.862, 0.000], [1.652, 0.954, 9.976]], "species": ["Ca", "Ca", "F", "Pa"], "frac_coords": [[0.892, 0.892, 0.325], [0.108, 0.108, 0.675], [0.500, 0.500, 0.500], [0.000, 0.000, 0.000]]}

{"formula": "CaPa2F11", "functional": "GGA-PBE", "state": "optimized geometry", "mass_density_g_cm3": 4.742, "raw_formation_energy_ev_per_atom": -3.87, "magmom_total_mub_per_atom": 0.072, "cell": [[3.844, -7.303, 2.284], [3.749, -4.970, -6.151], [8.590, 0.024, 1.675]], "species": ["F", "F", "F", "F", "F", "F", "F", "F", "F", "F", "F", "F", "F", "F", "F", "F", "F", "F", "F", "F", "F", "F", "Pa", "Pa", "Pa", "Pa", "Ca", "Ca"], "frac_coords": [[0.872, 0.788, 0.212], [0.000, 0.000, 0.000], [0.639, 0.710, 0.560], [0.233, 0.542, 0.181], [0.091, 0.560, 0.710], [0.861, 0.940, 0.790], [0.545, 0.042, 0.681], [0.045, 0.181, 0.542], [0.372, 0.712, 0.288], [0.455, 0.958, 0.319], [0.909, 0.440, 0.290], [0.733, 0.681, 0.042], [0.591, 0.210, 0.060], [0.500, 0.500, 0.500], [0.267, 0.319, 0.958], [0.139, 0.060, 0.210], [0.409, 0.790, 0.940], [0.128, 0.212, 0.788], [0.361, 0.290, 0.440], [0.767, 0.458, 0.819], [0.955, 0.819, 0.458], [0.628, 0.288, 0.712], [0.349, 0.317, 0.683], [0.849, 0.183, 0.817], [0.151, 0.817, 0.183], [0.651, 0.683, 0.317], [0.750, 0.750, 0.750], [0.250, 0.250, 0.250]]}

{"formula": "CaPbF4", "functional": "GGA-PBE", "state": "optimized geometry", "mass_density_g_cm3": 5.624, "raw_formation_energy_ev_per_atom": -3.16, "magmom_total_mub_per_atom": 0.000, "cell": [[5.275, 0.000, -2.372], [-1.067, 5.166, -2.372], [-0.014, -0.017, 7.020]], "species": ["F", "F", "F", "F", "F", "F", "F", "F", "Ca", "Ca", "Pb", "Pb"], "frac_coords": [[0.875, 0.895, 0.250], [0.105, 0.625, 0.750], [0.105, 0.125, 0.750], [0.375, 0.895, 0.250], [0.645, 0.125, 0.750], [0.875, 0.355, 0.250], [0.645, 0.625, 0.750], [0.375, 0.355, 0.250], [0.000, 0.000, 0.000], [0.750, 0.250, 0.500], [0.500, 0.500, 0.000], [0.250, 0.750, 0.500]]}

{"formula": "CaPbF4", "functional": "GGA-PBE", "state": "optimized geometry", "mass_density_g_cm3": 5.610, "raw_formation_energy_ev_per_atom": -3.15, "magmom_total_mub_per_atom": 0.000, "cell": [[4.076, 0.000, 0.000], [2.038, 3.527, 0.205], [2.038, 0.792, 6.702]], "species": ["F", "F", "F", "F", "Ca", "Pb"], "frac_coords": [[0.119, 0.118, 0.645], [0.630, 0.630, 0.109], [0.881, 0.882, 0.355], [0.370, 0.370, 0.891], [0.000, 0.000, 0.000], [0.500, 0.500, 0.500]]}

{"formula": "CaPbF6", "functional": "GGA-PBE", "state": "optimized geometry", "mass_density_g_cm3": 3.618, "raw_formation_energy_ev_per_atom": -2.71, "magmom_total_mub_per_atom": 0.000, "cell": [[-5.004, 2.420, -2.671], [-5.559, -2.440, 1.083], [-4.117, 3.092, 3.394]], "species": ["F", "F", "F", "F", "F", "F", "Pb", "Ca"], "frac_coords": [[0.240, 0.240, 0.760], [0.760, 0.240, 0.240], [0.760, 0.240, 0.760], [0.240, 0.760, 0.760], [0.760, 0.760, 0.240], [0.240, 0.760, 0.240], [0.000, 0.000, 0.000], [0.500, 0.500, 0.500]]}